Record 1
DFT (GGA-PBE) results for Mg8CdHg2 after structural relaxation.

```
Mg8CdHg2
1.0
3.9604 -6.5913 0.0000
3.9604 6.5913 0.0000
-1.8962 0.0000 4.8295
Mg Cd Hg
8 1 2
direct
0.0925 0.3219 0.6203
0.2212 0.7788 0.0000
0.3219 0.0925 0.6203
0.3929 0.3929 0.1942
0.6071 0.6071 0.8058
0.6781 0.9075 0.3797
0.7788 0.2212 0.0000
0.9075 0.6781 0.3797
0.0000 0.0000 0.0000
0.3037 0.6963 0.5000
0.6963 0.3037 0.5000
```

## Properties
For the spin magnetization, the calculation gives 0.00 μB/cell. As for the formation energy: -0.086 eV/atom. As for the electronic total energy: -1.384 eV per atom. For the relative energy among the computed polymorphs, the calculation gives 32.3 meV per atom.

Record 2
DFT (GGA-PBE) results for K2AgBr after structural relaxation.

```
K2AgBr
1.0
0.0000 4.1155 4.1155
4.1155 0.0000 4.1155
4.1155 4.1155 0.0000
K Ag Br
2 1 1
direct
0.2500 0.2500 0.2500
0.7500 0.7500 0.7500
0.0000 0.0000 0.0000
0.5000 0.5000 0.5000
```

## Properties
The value obtained for the formation energy (no corrections) is -71 kJ/mol of atoms. For the spin magnetization, the calculation gives 0.00 μB/cell. As for the electronic total energy: -2.411 eV per atom. For the relative energy among the computed polymorphs, the calculation gives 60.8 meV per atom.

Record 3
DFT (GGA-PBE) results for Mg2SiMo after structural relaxation.

```
Mg2SiMo
1.0
3.2899 0.0000 0.0000
0.0000 3.2899 0.0000
0.0000 0.0000 6.5985
Mg Si Mo
2 1 1
direct
0.0000 0.0000 0.0000
0.5000 0.5000 0.3092
0.5000 0.5000 0.7268
0.0000 0.0000 0.5757
```

## Properties
The value obtained for the formation energy (no corrections) is 0 kJ/mol of atoms. For the spin magnetization, the calculation gives 0.00 μB/cell. As for the electronic total energy: -4.863 eV per atom.

Record 4
DFT (GGA-PBE) results for Pm7AsC2 after structural relaxation.

```
Pm7AsC2
1.0
4.8860 -7.9780 0.0000
4.8860 7.9780 0.0000
0.0000 0.0000 3.8619
Pm As C
7 1 2
direct
0.0000 0.0000 0.0000
0.2019 0.7981 0.5000
0.2122 0.4406 0.0000
0.4406 0.2122 0.0000
0.5594 0.7878 0.0000
0.7878 0.5594 0.0000
0.7981 0.2019 0.5000
0.5000 0.5000 0.5000
0.2866 0.7134 0.0000
0.7134 0.2866 0.0000
```

## Properties
For the spin magnetization, the calculation gives 0.00 μB/cell. As for the formation energy: -0.055 eV/atom. As for the electronic total energy: -5.690 eV per atom.

Record 5
DFT (GGA-PBE) results for Ce2OsCl2 after structural relaxation.

```
Ce2OsCl2
1.0
3.4842 -2.0096 0.0000
3.4842 2.0096 0.0000
-2.5434 0.0000 10.5812
Ce Os Cl
2 1 2
direct
0.2218 0.2218 0.1508
0.7782 0.7782 0.8492
0.5000 0.5000 0.0000
0.0501 0.0501 0.6820
0.9499 0.9499 0.3180
```

## Properties
The value obtained for the formation energy (no corrections) is -117 kJ/mol of atoms. For the spin magnetization, the calculation gives 1.01 μB/cell. As for the electronic total energy: -6.572 eV per atom.

Record 6
DFT (GGA-PBE) results for K3Tb2InTe6 after structural relaxation.

```
K3Tb2InTe6
1.0
3.8917 -6.7399 0.0000
3.8917 6.7399 0.0000
-2.5978 0.0000 8.2616
K Tb In Te
3 2 1 6
direct
0.0000 0.0000 0.0000
0.3316 0.6684 0.0000
0.6684 0.3316 0.0000
0.1662 0.8338 0.5000
0.8338 0.1662 0.5000
0.5000 0.5000 0.5000
0.1048 0.4316 0.2941
0.2421 0.2421 0.7069
0.4316 0.1048 0.2941
0.5684 0.8952 0.7059
0.7579 0.7579 0.2931
0.8952 0.5684 0.7059
```

## Properties
The value obtained for the formation energy (no corrections) is -108 kJ/mol of atoms. For the spin magnetization, the calculation gives 0.00 μB/cell. As for the electronic total energy: -3.961 eV per atom.

Record 7
DFT (GGA-PBE) results for Li2ScMn after structural relaxation.

```
Li2ScMn
1.0
4.9698 -1.4962 0.0000
4.9698 1.4962 0.0000
-2.1066 0.0000 4.8822
Li Sc Mn
2 1 1
direct
0.0000 0.0000 0.0000
0.2440 0.2440 0.9008
0.4605 0.4605 0.4740
0.7241 0.7241 0.4210
```

## Properties
For the spin magnetization, the calculation gives 2.44 μB/cell. As for the formation energy: 0.292 eV/atom. As for the electronic total energy: -4.540 eV per atom. For the relative energy among the computed polymorphs, the calculation gives 134.3 meV per atom.

Record 8
DFT (GGA-PBE) results for PtRhS after structural relaxation.

```
PtRhS
1.0
4.4380 0.0000 0.0000
0.0000 3.5593 0.0000
-0.8214 0.0000 6.1142
Pt Rh S
2 2 2
direct
0.0000 0.0000 0.0000
0.1454 0.0000 0.5865
0.3707 0.5000 0.2833
0.5366 0.5000 0.8245
0.5240 0.0000 0.0942
0.8011 0.5000 0.5350
```

## Properties
The value obtained for the formation energy (no corrections) is -10 kJ/mol of atoms. For the spin magnetization, the calculation gives 0.00 μB/cell. As for the electronic total energy: -5.941 eV per atom. For the relative energy among the computed polymorphs, the calculation gives 35.7 meV per atom.

Record 9
DFT (GGA-PBE) results for Rb4NaNp3O12 after structural relaxation.

```
Rb4NaNp3O12
1.0
-4.3690 4.3690 4.3690
4.3690 -4.3690 4.3690
4.3690 4.3690 -4.3690
Rb Na Np O
4 1 3 12
direct
0.0000 0.0000 0.5000
0.0000 0.5000 0.0000
0.5000 0.0000 0.0000
0.5000 0.5000 0.5000
0.0000 0.0000 0.0000
0.0000 0.5000 0.5000
0.5000 0.0000 0.5000
0.5000 0.5000 0.0000
0.0000 0.2840 0.2840
0.0000 0.7160 0.7160
0.2500 0.5000 0.7500
0.2500 0.7500 0.5000
0.2840 0.0000 0.2840
0.2840 0.2840 0.0000
0.5000 0.2500 0.7500
0.5000 0.7500 0.2500
0.7160 0.0000 0.7160
0.7160 0.7160 0.0000
0.7500 0.2500 0.5000
0.7500 0.5000 0.2500
```

## Properties
The value obtained for the formation energy (no corrections) is -241 kJ/mol of atoms. For the spin magnetization, the calculation gives 2.00 μB/cell. As for the electronic total energy: -7.670 eV per atom.

Record 10
DFT (GGA-PBE) results for NaBi2Cl after structural relaxation.

```
NaBi2Cl
1.0
-2.1992 2.1992 14.1015
2.1992 -2.1992 14.1015
2.1992 2.1992 -14.1015
Na Bi Cl
2 4 2
direct
0.0000 0.0000 0.0000
0.7500 0.2500 0.5000
0.1023 0.6250 0.9773
0.3750 0.3523 0.4773
0.6477 0.1250 0.0227
0.8750 0.8977 0.5227
0.2500 0.7500 0.5000
0.5000 0.5000 0.0000
```

## Properties
The value obtained for the formation energy (no corrections) is -48 kJ/mol of atoms. For the spin magnetization, the calculation gives 0.00 μB/cell. As for the electronic total energy: -3.230 eV per atom. For the relative energy among the computed polymorphs, the calculation gives 0.0 meV per atom.